(1)
# CoRuBr6, relaxed, DFT GGA-PBE
data_CoRuBr6
_chemical_formula_sum 'Co2 Ru2 Br12'
_symmetry_space_group_name_H-M 'C 1 2/m 1'
_symmetry_Int_Tables_number 12
_cell_length_a 6.4222
_cell_length_b 12.4612
_cell_length_c 6.4233
_cell_angle_alpha 90.00
_cell_angle_beta 110.50
_cell_angle_gamma 90.00
loop_
_symmetry_equiv_pos_as_xyz
'x,y,z'
'-x,-y,-z'
'-x,y,-z'
'x,-y,z'
'x+1/2,y+1/2,z'
'-x+1/2,-y+1/2,-z'
'-x+1/2,y+1/2,-z'
'x+1/2,-y+1/2,z'
loop_
_atom_site_label
_atom_site_type_symbol
_atom_site_fract_x
_atom_site_fract_y
_atom_site_fract_z
Co1 Co 0.0000 0.0000 0.0000
Ru1 Ru 0.0000 0.5000 0.5000
Br1 Br 0.2342 0.5000 0.2644
Br2 Br 0.2450 0.1363 0.2461
# energy relative to the elements, uncorrected = -0.183 eV/atom
# magnetization = 4.55 μB per formula unit

***

(2)
# GaP2S, relaxed, DFT GGA-PBE
data_GaP2S
_chemical_formula_sum 'Ga4 P8 S4'
_symmetry_space_group_name_H-M 'I -4 2 d'
_symmetry_Int_Tables_number 122
_symmetry_space_group_name_Hall 'I -4 2bw'
_cell_length_a 5.0499
_cell_length_b 5.0499
_cell_length_c 12.8640
_cell_angle_alpha 90.00
_cell_angle_beta 90.00
_cell_angle_gamma 90.00
loop_
_atom_site_label
_atom_site_type_symbol
_atom_site_fract_x
_atom_site_fract_y
_atom_site_fract_z
Ga1 Ga 0.0000 0.0000 0.0000
P1 P 0.2317 0.2500 0.6250
S1 S 0.0000 0.0000 0.5000
# energy relative to the elements, uncorrected = 0.300 eV/atom
# magnetization = 0.00 μB per formula unit